Here is a relaxed Ce2PuBr crystal from Alexandria via LeMat-Bulk. Energies are from PBE.

The energy relative to the lowest polymorph listed for this composition comes out at 0.000 eV/atom. For the energy relative to the elements, uncorrected, the calculation gives -0.359 eV/atom. For the total energy, the calculation gives -29.31 eV per formula unit.

The structure belongs to space group P4/mmm (No. 123); the cell edges are 3.415, 3.415 and 8.990 Å and the angles 90.00°, 90.00° and 90.00°. The inequivalent atoms are Ce at (0.000, 0.000, 0.243), Pu at (0.500, 0.500, 0.000) and Br at (0.500, 0.500, 0.500).